A plane-wave DFT calculation with PBE-GGA was carried out for a relaxed structure of Al2SbPb.

As for the formation energy without anion corrections: 246.5 meV per atom. The total energy comes out at -14.330 eV for the cell shown. The value obtained for the density of states at the Fermi level is 1.4 states/eV per cell.

The space group is P4/mmm (No. 123) and the conventional cell measures 4.869, 4.869 and 4.055 Å, with angles of 90.00, 90.00 and 90.00 degrees. The inequivalent atoms are Al at (0.000, 0.500, 0.000), Sb at (0.000, 0.000, 0.500) and Pb at (0.500, 0.500, 0.500).